(1)
10
Lattice="-1.320 6.974 2.011 -5.587 0.329 -4.807 -3.112 -1.601 3.507" Properties=species:S:1:pos:R:3 comment="Sr2Li2As (GGA-PBE, relaxed)" dos_at_fermi_per_ev_atom=0.847 ef_ev_per_fu=-1.64 m_tot_mub_per_fu=0.00 e_tot_ha_per_atom=-0.099 pbc="T T T"
Sr -5.681 0.772 -1.189
Sr -6.980 4.296 -0.734
Sr -4.338 4.931 1.900
Sr -3.039 1.406 1.445
As 0.000 0.000 0.000
As -3.453 3.651 -1.398
Li -5.335 2.852 -3.433
Li -4.677 6.262 -1.292
Li -1.572 4.451 0.637
Li -2.230 1.041 -1.504

(2)
4
Lattice="0.000 4.193 4.193 4.193 0.000 4.193 4.193 4.193 0.000" Properties=species:S:1:pos:R:3 comment="BaCrI2 (GGA-PBE, relaxed)" e_form_raw_ev_per_atom=-0.491 dos_at_fermi_per_ev_atom=0.001 m_tot_mub_per_fu=6.00 e_tot_ha_per_atom=-0.153 pbc="T T T"
I 2.096 2.096 2.096
I 6.289 6.289 6.289
Cr 0.000 0.000 0.000
Ba 4.193 4.193 4.193

(3)
5
Lattice="3.909 0.000 0.000 0.000 3.909 0.000 0.000 0.000 6.699" Properties=species:S:1:pos:R:3 comment="AuSeIN2 (GGA-PBE, relaxed)" e_form_raw_ev_per_atom=1.755 dos_at_fermi_per_ev_atom=0.425 m_tot_mub_per_fu=0.00 e_tot_ha_per_atom=-0.119 pbc="T T T"
I 0.000 0.000 0.000
Au 1.955 1.955 3.350
Se 0.000 0.000 3.350
N 0.000 1.955 0.000
N 1.955 0.000 0.000

(4)
5
Lattice="-1.410 3.360 1.028 -1.373 -1.547 3.171 4.488 2.376 5.362" Properties=species:S:1:pos:R:3 comment="Sc2BePt2 (GGA-PBE, relaxed)" dos_at_fermi_per_ev_atom=0.501 ef_ev_per_fu=-1.73 m_tot_mub_per_fu=0.00 e_tot_ha_per_atom=-0.222 pbc="T T T"
Sc -0.100 1.229 2.816
Sc 1.805 2.960 6.745
Be 0.000 0.000 0.000
Pt 0.843 3.321 4.245
Pt 0.862 0.868 5.316